(1)
A plane-wave DFT calculation with PBE was carried out for a relaxed structure of BaSiGePd6.

Crystal system: orthorhombic
Energy in eV per atom: -5.121
Raw formation energy in eV/atom: -0.33

CIF file:
```
data_BaSiGePd6
_chemical_formula_sum 'Ba4 Si4 Ge4 Pd24'
_space_group_name_H-M_alt 'I m m a'
_space_group_IT_number 74
_space_group_name_Hall '-I 2b 2'
_cell_length_a 7.7505
_cell_length_b 8.5779
_cell_length_c 11.6215
_cell_angle_alpha 90.00
_cell_angle_beta 90.00
_cell_angle_gamma 90.00
loop_
_atom_site_label
_atom_site_fract_x
_atom_site_fract_y
_atom_site_fract_z
Ba1 0.0000 0.2500 0.1486
Si1 0.0000 0.0000 0.5000
Ge1 0.2500 0.2500 0.7500
Pd1 0.0000 0.2500 0.4194
Pd2 0.0000 0.2500 0.8739
Pd3 0.2308 0.0240 0.6240
```


(2)
A plane-wave DFT calculation with PBE was carried out for a relaxed structure of Na3Np2SbTe6.

Crystal system: monoclinic
Energy in eV per atom: -5.083
Raw formation energy in eV/atom: -0.68

CIF file:
```
data_Na3Np2SbTe6
_chemical_formula_sum 'Na6 Np4 Sb2 Te12'
_space_group_name_H-M_alt 'C 1 2/m 1'
_space_group_IT_number 12
_cell_length_a 7.8020
_cell_length_b 13.5081
_cell_length_c 7.9188
_cell_angle_alpha 90.00
_cell_angle_beta 109.09
_cell_angle_gamma 90.00
loop_
_space_group_symop_operation_xyz
'x,y,z'
'-x,-y,-z'
'-x,y,-z'
'x,-y,z'
'x+1/2,y+1/2,z'
'-x+1/2,-y+1/2,-z'
'-x+1/2,y+1/2,-z'
'x+1/2,-y+1/2,z'
loop_
_atom_site_label
_atom_site_fract_x
_atom_site_fract_y
_atom_site_fract_z
Na1 0.0000 0.0000 0.0000
Na2 0.0000 0.3372 0.0000
Np1 0.0000 0.1673 0.5000
Sb1 0.0000 0.5000 0.5000
Te1 0.2433 0.3346 0.7336
Te2 0.2455 0.0000 0.7312
```


(3)
A plane-wave DFT calculation with PBE was carried out for a relaxed structure of NdCdPd2.

Crystal system: tetragonal
Energy in eV per atom: -4.582

CIF file:
```
data_NdCdPd2
_chemical_formula_sum 'Nd1 Cd1 Pd2'
_space_group_name_H-M_alt 'P 4/m m m'
_space_group_IT_number 123
_space_group_name_Hall '-P 4 2'
_cell_length_a 4.8321
_cell_length_b 4.8321
_cell_length_c 3.5175
_cell_angle_alpha 90.00
_cell_angle_beta 90.00
_cell_angle_gamma 90.00
loop_
_atom_site_label
_atom_site_fract_x
_atom_site_fract_y
_atom_site_fract_z
Nd1 0.0000 0.0000 0.0000
Cd1 0.5000 0.5000 0.0000
Pd1 0.0000 0.5000 0.5000
```


(4)
A plane-wave DFT calculation with PBE was carried out for a relaxed structure of Pa3MnCo5.

Crystal system: hexagonal
Energy in eV per atom: -8.348

CIF file:
```
data_Pa3MnCo5
_chemical_formula_sum 'Pa6 Mn2 Co10'
_space_group_name_H-M_alt 'P 63/m c m'
_space_group_IT_number 193
_space_group_name_Hall '-P 6c 2'
_cell_length_a 7.8457
_cell_length_b 7.8457
_cell_length_c 5.3490
_cell_angle_alpha 90.00
_cell_angle_beta 90.00
_cell_angle_gamma 120.00
loop_
_atom_site_label
_atom_site_fract_x
_atom_site_fract_y
_atom_site_fract_z
Pa1 0.0000 0.3532 0.2500
Mn1 0.0000 0.0000 0.0000
Co1 0.0000 0.3017 0.7500
Co2 0.3333 0.6667 0.0000
```


(5)
A plane-wave DFT calculation with PBE was carried out for a relaxed structure of MnCrOs2.

Crystal system: tetragonal
Energy in eV per atom: -10.237

CIF file:
```
data_MnCrOs2
_chemical_formula_sum 'Mn2 Cr2 Os4'
_space_group_name_H-M_alt 'I 4/m m m'
_space_group_IT_number 139
_space_group_name_Hall '-I 4 2'
_cell_length_a 3.7793
_cell_length_b 3.7793
_cell_length_c 7.3199
_cell_angle_alpha 90.00
_cell_angle_beta 90.00
_cell_angle_gamma 90.00
loop_
_atom_site_label
_atom_site_fract_x
_atom_site_fract_y
_atom_site_fract_z
Mn1 0.0000 0.0000 0.0000
Cr1 0.0000 0.0000 0.5000
Os1 0.0000 0.5000 0.2500
```


(6)
A plane-wave DFT calculation with PBE was carried out for a relaxed structure of LaMg14Fe.

Crystal system: orthorhombic
Energy in eV per atom: -2.152
Offset from the most stable computed form in eV per atom: 0.000

CIF file:
```
data_LaMg14Fe
_chemical_formula_sum 'La2 Mg28 Fe2'
_space_group_name_H-M_alt 'A m m 2'
_space_group_IT_number 38
_cell_length_a 10.3308
_cell_length_b 6.1562
_cell_length_c 11.6336
_cell_angle_alpha 90.00
_cell_angle_beta 90.00
_cell_angle_gamma 90.00
loop_
_space_group_symop_operation_xyz
'x,y,z'
'-x,-y,z'
'-x,y,z'
'x,-y,z'
'x,y+1/2,z+1/2'
'-x,-y+1/2,z+1/2'
'-x,y+1/2,z+1/2'
'x,-y+1/2,z+1/2'
loop_
_atom_site_label
_atom_site_fract_x
_atom_site_fract_y
_atom_site_fract_z
La1 0.0000 0.0000 0.0000
Mg1 0.0000 0.2419 0.2512
Mg2 0.2179 0.0000 0.6262
Mg3 0.2516 0.2457 0.3904
Mg4 0.2657 0.0000 0.1473
Mg5 0.5000 0.0000 0.4848
Mg6 0.5000 0.0000 0.9792
Mg7 0.5000 0.2445 0.7329
Fe1 0.0000 0.0000 0.4678
```


(7)
A plane-wave DFT calculation with PBE was carried out for a relaxed structure of Sc3Pb2.

Crystal system: trigonal
Energy in eV per atom: -5.536

CIF file:
```
data_Sc3Pb2
_chemical_formula_sum 'Sc3 Pb2'
_space_group_name_H-M_alt 'P -3 m 1'
_space_group_IT_number 164
_space_group_name_Hall '-P 3 2"'
_cell_length_a 5.0102
_cell_length_b 5.0102
_cell_length_c 6.1916
_cell_angle_alpha 90.00
_cell_angle_beta 90.00
_cell_angle_gamma 120.00
loop_
_atom_site_label
_atom_site_fract_x
_atom_site_fract_y
_atom_site_fract_z
Sc1 0.0000 0.0000 0.0000
Sc2 0.3333 0.6667 0.3017
Pb1 0.3333 0.6667 0.7840
```


(8)
A plane-wave DFT calculation with PBE was carried out for a relaxed structure of MgFe3Se.

Crystal system: cubic
Energy in eV per atom: -5.617
Raw formation energy in eV/atom: 0.48
Offset from the most stable computed form in eV per atom: 0.000

CIF file:
```
data_MgFe3Se
_chemical_formula_sum 'Mg1 Fe3 Se1'
_space_group_name_H-M_alt 'P m -3 m'
_space_group_IT_number 221
_space_group_name_Hall '-P 4 2 3'
_cell_length_a 4.3948
_cell_length_b 4.3948
_cell_length_c 4.3948
_cell_angle_alpha 90.00
_cell_angle_beta 90.00
_cell_angle_gamma 90.00
loop_
_atom_site_label
_atom_site_fract_x
_atom_site_fract_y
_atom_site_fract_z
Mg1 0.0000 0.0000 0.0000
Fe1 0.0000 0.5000 0.5000
Se1 0.5000 0.5000 0.5000
```